KSr2I | PBE | relaxed

abc: 6.6609 6.6609 6.6609
angles: 60.00 60.00 60.00
With the nearest neighbours (Å) after each atom.
Element x y z (fractional)
Sr  0.2500  0.2500  0.2500  4 K 4.08, 4 I 4.08
K  0.0000  0.0000  0.0000  8 Sr 4.08
Sr  0.7500  0.7500  0.7500  4 I 4.08, 4 K 4.08
I  0.5000  0.5000  0.5000  8 Sr 4.08

Output
formation energy without anion corrections = -0.70 eV/f.u.
space group = Fm-3m (225)
ΔE to the lowest computed polymorph = 299 meV/atom
crystal system = cubic


SbH3NF6 | PBE | relaxed

abc: 7.2264 7.2264 10.9453
angles: 87.94 87.94 116.25
With the nearest neighbours (Å) after each atom.
Element x y z (fractional)
F  0.9185  0.2220  0.0783  1 Sb 1.92
H  0.0104  0.7734  0.1621  1 N 1.04
F  0.4182  0.6472  0.3790  1 H 1.72
F  0.8060  0.8710  0.2209  1 Sb 1.92, 1 H 2.00
H  0.2506  0.9747  0.1421  1 N 1.05
F  0.4777  0.2957  0.3889  1 Sb 1.90
F  0.7884  0.6574  0.4486  1 H 1.78, 1 Sb 1.93
H  0.7734  0.0104  0.6621  1 N 1.04
F  0.1290  0.1940  0.2791  1 Sb 1.92, 1 H 2.00
N  0.1639  0.8263  0.1837  3 H 1.04-1.05
Sb  0.8515  0.1485  0.2500  6 F 1.91-1.92
H  0.0253  0.7494  0.3579  1 N 1.05
F  0.4321  0.9284  0.7795  1 Sb 1.91
N  0.8263  0.1639  0.6837  3 H 1.04-1.05
F  0.6574  0.7884  0.9486  1 H 1.78, 1 Sb 1.93
F  0.5223  0.7043  0.6111  1 Sb 1.90
F  0.3528  0.5818  0.1210  1 H 1.72
F  0.6472  0.4182  0.8790  1 H 1.72
H  0.7760  0.2736  0.8467  1 N 1.05
F  0.0815  0.7780  0.9217  1 Sb 1.92
H  0.2736  0.7760  0.3467  1 N 1.05
N  0.1737  0.8361  0.3163  3 H 1.04-1.05
F  0.2116  0.3426  0.5514  1 H 1.78, 1 Sb 1.93
H  0.7264  0.2240  0.6533  1 N 1.05
N  0.8361  0.1737  0.8163  3 H 1.04-1.05
H  0.2266  0.9896  0.3379  1 N 1.04
F  0.2957  0.4777  0.8889  1 Sb 1.90
F  0.5679  0.0716  0.2205  1 Sb 1.91
Sb  0.5000  0.5000  0.5000  6 F 1.90-1.94
F  0.0716  0.5679  0.7205  1 Sb 1.91
H  0.9747  0.2506  0.6421  1 N 1.05
F  0.9284  0.4321  0.2795  1 Sb 1.91
Sb  0.1485  0.8515  0.7500  6 F 1.91-1.92
Sb  0.5000  0.5000  0.0000  6 F 1.90-1.94
F  0.3426  0.2116  0.0514  1 H 1.78, 1 Sb 1.93
F  0.1940  0.1290  0.7791  1 Sb 1.92, 1 H 2.00
F  0.5818  0.3528  0.6210  1 H 1.72
H  0.2240  0.7264  0.1533  1 N 1.05
H  0.9896  0.2266  0.8379  1 N 1.04
F  0.7043  0.5223  0.1111  1 Sb 1.90
F  0.2220  0.9185  0.5783  1 Sb 1.92
H  0.7494  0.0253  0.8579  1 N 1.05
F  0.8710  0.8060  0.7209  1 Sb 1.92, 1 H 2.00
F  0.7780  0.0815  0.4217  1 Sb 1.92

Output
E = -4.756 eV per atom
space group = C2/c (15)
crystal system = monoclinic


La5Fe | PBE | relaxed

abc: 8.8140 8.8140 6.0159
angles: 90.00 90.00 155.24
With the nearest neighbours (Å) after each atom.
Element x y z (fractional)
Fe  0.9946  0.0054  0.0000  2 La 2.52
La  0.8908  0.1092  0.5000  8 La 3.23-3.55, 2 Fe 3.50
La  0.3977  0.6023  0.0000  2 Fe 2.52
La  0.5428  0.4572  0.5000  6 La 3.23-3.58
La  0.2193  0.7807  0.5000  6 La 3.51-3.78
La  0.6215  0.3785  0.0000  2 Fe 2.89

Output
space group = Amm2 (38)
ΔE to the lowest computed polymorph = 112 meV/atom
crystal system = orthorhombic


Be2Ru3 | PBE | relaxed

abc: 7.2864 6.3393 4.9099
angles: 79.63 58.85 41.52
With the nearest neighbours (Å) after each atom.
Element x y z (fractional)
Ru  0.3689  0.4276  0.7359  5 Be 2.41-2.68, 4 Ru 2.52-2.65
Be  0.0572  0.3442  0.8998  7 Ru 2.37-2.62
Be  0.9058  0.1928  0.5512  7 Ru 2.37-2.62
Ru  0.9076  0.0924  0.0924  6 Be 2.37-2.62, 2 Ru 2.65
Ru  0.4675  0.7359  0.4276  5 Be 2.41-2.68, 4 Ru 2.52-2.65
Ru  0.1576  0.3424  0.3424  6 Be 2.37-2.62, 2 Ru 2.65
Be  0.3502  0.5512  0.1928  7 Ru 2.37-2.62
Ru  0.8224  0.8811  0.7825  5 Be 2.41-2.68, 4 Ru 2.52-2.65
Be  0.6988  0.8998  0.3442  7 Ru 2.37-2.62
Ru  0.5141  0.7825  0.8811  5 Be 2.41-2.68, 4 Ru 2.52-2.65

Output
space group = Fdd2 (43)
ΔE to the lowest computed polymorph = 0 meV/atom
crystal system = orthorhombic


Cs2Ag3Cl5 | PBE | relaxed

abc: 9.4218 8.4671 8.4671
angles: 88.58 81.49 81.49
With the nearest neighbours (Å) after each atom.
Element x y z (fractional)
Cl  0.1032  0.2507  0.1366  2 Ag 2.53-2.75
Ag  0.5267  0.4220  0.3450  3 Cl 2.53-2.70
Ag  0.0267  0.3450  0.4220  3 Cl 2.53-2.70
Cl  0.0436  0.1673  0.6740  2 Ag 2.56-2.59
Ag  0.4733  0.5780  0.6550  3 Cl 2.53-2.70
Cl  0.2500  0.5237  0.4763  4 Ag 2.70-2.86
Ag  0.7500  0.8402  0.1598  4 Cl 2.56-2.75
Cl  0.6032  0.1366  0.2507  2 Ag 2.53-2.75
Cl  0.8968  0.7493  0.8634  2 Ag 2.53-2.75
Cs  0.2091  0.6238  0.0377  7 Cl 3.46-3.85, 1 Ag 3.77
Cs  0.7091  0.0377  0.6238  7 Cl 3.46-3.85, 1 Ag 3.77
Cl  0.4564  0.3260  0.8327  2 Ag 2.56-2.59
Cs  0.7909  0.3762  0.9623  7 Cl 3.46-3.85, 1 Ag 3.77
Cl  0.5436  0.6740  0.1673  2 Ag 2.56-2.59
Ag  0.9733  0.6550  0.5780  3 Cl 2.53-2.70
Cs  0.2909  0.9623  0.3762  7 Cl 3.46-3.85, 1 Ag 3.77
Cl  0.7500  0.4763  0.5237  4 Ag 2.70-2.86
Ag  0.2500  0.1598  0.8402  4 Cl 2.56-2.75
Cl  0.9564  0.8327  0.3260  2 Ag 2.56-2.59
Cl  0.3968  0.8634  0.7493  2 Ag 2.53-2.75

Output
formation energy without anion corrections = -10.41 eV/f.u.
space group = C2/c (15)
crystal system = monoclinic


K4Ce3SmSe8 | PBE | relaxed

abc: 8.7213 9.1809 8.7215
angles: 118.37 120.00 90.00
With the nearest neighbours (Å) after each atom.
Element x y z (fractional)
Sm  0.0000  0.5000  0.0000  6 Se 2.97
Ce  0.5000  0.5000  0.0000  6 Se 2.99-3.00
K  0.0000  0.0000  0.5000  6 Se 3.36
Se  0.2607  0.2908  0.0256  1 Sm 2.97, 2 Ce 3.00
Se  0.7393  0.7092  0.9744  1 Sm 2.97, 2 Ce 3.00
Se  0.7650  0.2907  0.5300  1 Sm 2.97, 2 Ce 3.00
Se  0.2350  0.7092  0.9744  1 Sm 2.97, 2 Ce 3.00
K  0.5000  0.0000  0.0000  6 Se 3.38
Se  0.2350  0.7093  0.4700  1 Sm 2.97, 2 Ce 3.00
Se  0.7367  0.7100  0.4734  3 Ce 2.99
Se  0.2633  0.2900  0.5266  3 Ce 2.99
K  0.0000  0.0000  0.0000  6 Se 3.36
Ce  0.5000  0.5000  0.5000  6 Se 2.99-3.00
Ce  0.0000  0.5000  0.5000  6 Se 2.99-3.00
Se  0.7650  0.2908  0.0256  1 Sm 2.97, 2 Ce 3.00
K  0.5000  0.0000  0.5000  6 Se 3.36

Output
formation energy without anion corrections = -27.29 eV/f.u.
space group = R-3m (166)
crystal system = trigonal


NaGe2Pd | PBE | relaxed

abc: 4.6201 4.6201 4.6201
angles: 60.00 60.00 60.00
With the nearest neighbours (Å) after each atom.
Element x y z (fractional)
Pd  0.5000  0.5000  0.5000  8 Ge 2.83
Ge  0.7500  0.7500  0.7500  4 Pd 2.83, 4 Na 2.83
Ge  0.2500  0.2500  0.2500  4 Na 2.83, 4 Pd 2.83
Na  0.0000  0.0000  0.0000  8 Ge 2.83

Output
E = -4.035 eV per atom
space group = Fm-3m (225)
crystal system = cubic


Tb2HoFe9 | PBE | relaxed

abc: 5.0919 5.0919 8.6235
angles: 72.83 72.83 60.00
With the nearest neighbours (Å) after each atom.
Element x y z (fractional)
Fe  0.5805  0.5805  0.7572  7 Fe 2.45-2.55
Ho  0.0000  0.0000  0.0000  18 Fe 2.94-3.22
Fe  0.5000  0.5000  0.5000  6 Fe 2.55
Fe  0.5805  0.0818  0.7572  7 Fe 2.45-2.55
Fe  0.0818  0.5805  0.7572  7 Fe 2.45-2.55
Fe  0.4195  0.9182  0.2428  7 Fe 2.45-2.55
Fe  0.9182  0.4195  0.2428  7 Fe 2.45-2.55
Tb  0.8582  0.8582  0.4253  12 Fe 2.94-3.07, 3 Tb 3.18
Fe  0.4195  0.4195  0.2428  7 Fe 2.45-2.55
Fe  0.6672  0.6672  0.9985  6 Fe 2.45-2.46
Tb  0.1418  0.1418  0.5747  12 Fe 2.94-3.07, 3 Tb 3.18
Fe  0.3328  0.3328  0.0015  6 Fe 2.45-2.46

Output
E = -7.564 eV per atom
space group = R-3m (166)
crystal system = trigonal